An optimized crystal structure of Cr5GaIr6, computed with PBE-GGA.

POSCAR file:
```
Cr5GaIr6
1.0
0.3440 3.7649 0.6699
-1.9651 -0.5663 -6.8115
-5.3780 -2.1963 4.1027
Cr Ga Ir
5 1 6
direct
0.5000 0.1788 0.8212
0.0000 0.3340 0.6660
0.5000 0.5000 0.5000
0.5000 0.8212 0.1788
0.0000 0.6660 0.3340
0.0000 0.0000 0.0000
0.2462 0.7462 0.7462
0.7475 0.5788 0.9161
0.7538 0.2538 0.2538
0.2525 0.0839 0.4212
0.2525 0.4212 0.0839
0.7475 0.9161 0.5788
```

Values from the calculation:
Magnetization ... 1.6 μB/f.u.
Formation energy from the elements ... -2.60 eV per formula unit

An optimized crystal structure of CrGaIr3, computed with PBE-GGA.

POSCAR file:
```
CrGaIr3
1.0
-4.1867 0.4478 -1.5869
-0.6206 -4.4400 0.3844
-1.5276 0.5765 4.1930
Ir Ga Cr
3 1 1
direct
0.5000 0.0000 0.0000
0.0000 0.0000 0.5000
0.0000 0.5000 0.0000
0.5000 0.5000 0.5000
0.0000 0.0000 0.0000
```

Values from the calculation:
Magnetization ... 0.0 μB/f.u.
Excess energy over the best structure of this formula in the dataset ... 0.0000 eV/atom
Formation energy from the elements ... 5.94 eV per formula unit

An optimized crystal structure of Cr2GaIr2, computed with PBE-GGA.

POSCAR file:
```
Cr2GaIr2
1.0
7.2914 0.0000 0.0000
0.0000 7.2914 0.0000
0.0000 0.0000 2.7288
Ir Cr Ga
4 4 2
direct
0.1308 0.3692 0.0000
0.3692 0.8692 0.0000
0.8692 0.6308 0.0000
0.6308 0.1308 0.0000
0.8356 0.3356 0.5000
0.3356 0.1644 0.5000
0.6644 0.8356 0.5000
0.1644 0.6644 0.5000
0.0000 0.0000 0.0000
0.5000 0.5000 0.0000
```

Values from the calculation:
Magnetization ... 1.9 μB/f.u.
Excess energy over the best structure of this formula in the dataset ... 0.0000 eV/atom
Formation energy from the elements ... -0.04 eV per formula unit

An optimized crystal structure of CrGaIr2, computed with PBE-GGA.

POSCAR file:
```
CrGaIr2
1.0
-2.3878 -1.4003 0.1713
1.3636 -2.2045 0.9863
-0.9353 2.4125 6.6853
Ir Cr Ga
2 1 1
direct
0.0000 0.0000 0.2598
0.0000 0.0000 0.7402
0.5000 0.5000 0.5000
0.5000 0.5000 0.0000
```

Values from the calculation:
Magnetization ... 0.3 μB/f.u.
Formation energy from the elements ... -1.14 eV per formula unit

An optimized crystal structure of CrGa2Ir2, computed with PBE-GGA.

POSCAR file:
```
CrGa2Ir2
1.0
7.2192 0.0000 0.0000
0.0000 7.2192 0.0000
0.0000 0.0000 2.9553
Ga Cr Ir
4 2 4
direct
0.1562 0.6562 0.5000
0.8438 0.3438 0.5000
0.3438 0.1562 0.5000
0.6562 0.8438 0.5000
0.0000 0.0000 0.0000
0.5000 0.5000 0.0000
0.3571 0.8571 0.0000
0.6429 0.1429 0.0000
0.1429 0.3571 0.0000
0.8571 0.6429 0.0000
```

Values from the calculation:
Magnetization ... 4.1 μB/f.u.
Excess energy over the best structure of this formula in the dataset ... 0.0026 eV/atom
Formation energy from the elements ... -0.80 eV per formula unit

An optimized crystal structure of CrGaIr2, computed with PBE-GGA.

POSCAR file:
```
CrGaIr2
1.0
4.6882 -1.7487 -3.0439
-1.4797 4.7799 3.0439
-3.3074 0.2872 4.8250
Cr Ir Ga
1 2 1
direct
0.0000 0.0000 0.0000
0.0000 0.7800 0.7800
0.0000 0.2200 0.2200
0.0000 0.5000 0.5000
```

Values from the calculation:
Magnetization ... 0.0 μB/f.u.
Formation energy from the elements ... 1.02 eV per formula unit

An optimized crystal structure of Cr3GaIr, computed with PBE-GGA.

POSCAR file:
```
Cr3GaIr
1.0
-3.2560 2.7197 0.3886
-2.1590 -2.1604 -2.9700
-1.6990 -2.4669 3.0295
Cr Ga Ir
3 1 1
direct
0.0000 0.5000 0.0000
0.0000 0.0000 0.5000
0.5000 0.0000 0.0000
0.0000 0.0000 0.0000
0.5000 0.5000 0.5000
```

Values from the calculation:
Magnetization ... 0.0 μB/f.u.
Excess energy over the best structure of this formula in the dataset ... 0.4450 eV/atom
Formation energy from the elements ... 7.86 eV per formula unit

An optimized crystal structure of Cr3GaIr, computed with PBE-GGA.

POSCAR file:
```
Cr3GaIr
1.0
4.7559 0.0000 0.0000
0.0000 4.7559 0.0000
0.0000 0.0000 4.7559
Ga Cr Ir
1 3 1
direct
0.5000 0.5000 0.5000
0.0000 0.0000 0.5000
0.5000 0.0000 0.0000
0.0000 0.5000 0.0000
0.0000 0.0000 0.0000
```

Values from the calculation:
Magnetization ... 10.1 μB/f.u.
Excess energy over the best structure of this formula in the dataset ... 0.0000 eV/atom
Formation energy from the elements ... 5.64 eV per formula unit

An optimized crystal structure of CrGaIr2, computed with PBE-GGA.

POSCAR file:
```
CrGaIr2
1.0
5.6289 0.0000 0.0000
0.0000 5.6289 0.0000
2.8145 2.8145 5.1348
Cr Ir Ga
2 4 2
direct
0.2500 0.7500 0.5000
0.5000 0.5000 0.0000
0.8750 0.8514 0.7500
0.3750 0.3986 0.7500
0.1486 0.6250 0.2500
0.6014 0.1250 0.2500
0.0000 0.0000 0.0000
0.7500 0.2500 0.5000
```

Values from the calculation:
Magnetization ... 0.9 μB/f.u.
Formation energy from the elements ... 2.55 eV per formula unit

An optimized crystal structure of Cr2GaIr2, computed with PBE-GGA.

POSCAR file:
```
Cr2GaIr2
1.0
-3.9020 -3.0330 -5.3727
-1.3551 -5.7805 4.2474
-2.2273 1.2091 0.9350
Cr Ga Ir
4 2 4
direct
0.3816 0.8816 0.0000
0.8816 0.6184 0.0000
0.6184 0.1184 0.0000
0.1184 0.3816 0.0000
0.5000 0.5000 0.0000
0.0000 0.0000 0.0000
0.6687 0.8313 0.5000
0.1687 0.6687 0.5000
0.3313 0.1687 0.5000
0.8313 0.3313 0.5000
```

Values from the calculation:
Magnetization ... 0.0 μB/f.u.
Excess energy over the best structure of this formula in the dataset ... 0.0583 eV/atom
Formation energy from the elements ... 0.26 eV per formula unit

An optimized crystal structure of MgCrGaIr, computed with PBE-GGA.

POSCAR file:
```
MgCrGaIr
1.0
4.3733 0.0000 0.0000
2.1866 3.7874 0.0000
2.1866 1.2625 3.5708
Ir Cr Ga Mg
1 1 1 1
direct
0.7500 0.7500 0.7500
0.2500 0.2500 0.2500
0.0000 0.0000 0.0000
0.5000 0.5000 0.5000
```

Values from the calculation:
Magnetization ... 3.3 μB/f.u.
Formation energy from the elements ... -0.86 eV per formula unit

An optimized crystal structure of Cr2GaIrN, computed with PBE-GGA.

POSCAR file:
```
Cr2GaIrN
1.0
5.0987 0.0000 0.0000
0.0000 3.6729 0.0000
0.0000 0.0000 5.0987
Ir Cr N Ga
1 2 1 1
direct
0.0000 0.0000 0.0000
0.5000 0.0000 0.0000
0.0000 0.0000 0.5000
0.0000 0.5000 0.0000
0.5000 0.5000 0.5000
```

Values from the calculation:
Energy relative to the elements, uncorrected ... 0.885 eV/atom
Magnetization ... 8.4 μB/f.u.

An optimized crystal structure of CrGaNiIr, computed with PBE-GGA.

POSCAR file:
```
CrGaNiIr
1.0
-0.1397 0.3283 4.2101
-0.2367 -3.4806 2.3837
3.3190 -1.1988 2.3238
Ni Cr Ir Ga
1 1 1 1
direct
0.2500 0.2500 0.2500
0.5000 0.5000 0.5000
0.7500 0.7500 0.7500
0.0000 0.0000 0.0000
```

Values from the calculation:
Magnetization ... 3.0 μB/f.u.
Formation energy from the elements ... -0.77 eV per formula unit

An optimized crystal structure of CrGaNiIr2, computed with PBE-GGA.

POSCAR file:
```
CrGaNiIr2
1.0
4.5136 0.0000 0.0000
0.0000 4.2091 0.0000
0.0000 0.0000 4.5136
Ni Ga Ir Cr
1 1 2 1
direct
0.0000 0.5000 0.0000
0.0000 0.0000 0.0000
0.0000 0.0000 0.5000
0.5000 0.0000 0.0000
0.5000 0.5000 0.5000
```

Values from the calculation:
Magnetization ... 0.4 μB/f.u.
Formation energy from the elements ... 6.77 eV per formula unit